# Ga2BH | the Alexandria database | PBE-GGA | optimized geometry
# Excess energy over the best structure of this formula in the dataset (meV/atom): 0.0
# DFT total energy (eV per cell): -57.088
data_Ga2BH
_cell_length_a 4.519
_cell_length_b 4.519
_cell_length_c 10.735
_cell_angle_alpha 90.00
_cell_angle_beta 90.00
_cell_angle_gamma 90.00
_symmetry_space_group_name_H-M 'I -4 2 d'
_symmetry_Int_Tables_number 122
_symmetry_space_group_name_Hall 'I -4 2bw'
loop_
_atom_site_label
_atom_site_type_symbol
_atom_site_fract_x
_atom_site_fract_y
_atom_site_fract_z
Ga1 Ga 0.236 0.250 0.125
B1 B 0.000 0.000 0.000
H1 H 0.000 0.000 0.500

***

# GaB2H6 | the Alexandria database | PBE-GGA | optimized geometry
# Excess energy over the best structure of this formula in the dataset (meV/atom): 19.1
# DFT total energy (eV per cell): -141.387
data_GaB2H6
_cell_length_a 13.044
_cell_length_b 9.902
_cell_length_c 3.374
_cell_angle_alpha 90.00
_cell_angle_beta 103.96
_cell_angle_gamma 90.00
_symmetry_space_group_name_H-M 'C 1 2/c 1'
_symmetry_Int_Tables_number 15
loop_
_symmetry_equiv_pos_as_xyz
'x,y,z'
'-x,-y,-z'
'-x,y,-z+1/2'
'x,-y,z+1/2'
'x+1/2,y+1/2,z'
'-x+1/2,-y+1/2,-z'
'-x+1/2,y+1/2,-z+1/2'
'x+1/2,-y+1/2,z+1/2'
loop_
_atom_site_label
_atom_site_type_symbol
_atom_site_fract_x
_atom_site_fract_y
_atom_site_fract_z
Ga1 Ga 0.000 0.095 0.250
B1 B 0.166 0.434 0.603
H1 H 0.105 0.343 0.604
H2 H 0.121 0.460 0.223
H3 H 0.242 0.091 0.299

***

# GaB3H | the Alexandria database | PBE-GGA | optimized geometry
# Excess energy over the best structure of this formula in the dataset (meV/atom): 0.0
# DFT total energy (eV per cell): -18.306
data_GaB3H
_cell_length_a 3.417
_cell_length_b 3.417
_cell_length_c 3.417
_cell_angle_alpha 90.00
_cell_angle_beta 90.00
_cell_angle_gamma 90.00
_symmetry_space_group_name_H-M 'P m -3 m'
_symmetry_Int_Tables_number 221
_symmetry_space_group_name_Hall '-P 4 2 3'
loop_
_atom_site_label
_atom_site_type_symbol
_atom_site_fract_x
_atom_site_fract_y
_atom_site_fract_z
Ga1 Ga 0.000 0.000 0.000
B1 B 0.000 0.500 0.500
H1 H 0.500 0.500 0.500

***

# Ga3BH | the Alexandria database | PBE-GGA | optimized geometry
# Excess energy over the best structure of this formula in the dataset (meV/atom): 0.0
# DFT total energy (eV per cell): -15.497
data_Ga3BH
_cell_length_a 4.371
_cell_length_b 4.371
_cell_length_c 4.371
_cell_angle_alpha 90.00
_cell_angle_beta 90.00
_cell_angle_gamma 90.00
_symmetry_space_group_name_H-M 'P m -3 m'
_symmetry_Int_Tables_number 221
_symmetry_space_group_name_Hall '-P 4 2 3'
loop_
_atom_site_label
_atom_site_type_symbol
_atom_site_fract_x
_atom_site_fract_y
_atom_site_fract_z
Ga1 Ga 0.000 0.000 0.500
B1 B 0.000 0.000 0.000
H1 H 0.500 0.500 0.500

***

# Ga4B2H | the Alexandria database | PBE-GGA | optimized geometry
# DFT total energy (eV per cell): -47.285
data_Ga4B2H
_cell_length_a 3.867
_cell_length_b 3.867
_cell_length_c 12.204
_cell_angle_alpha 90.00
_cell_angle_beta 90.00
_cell_angle_gamma 90.00
_symmetry_space_group_name_H-M 'I 4/m m m'
_symmetry_Int_Tables_number 139
_symmetry_space_group_name_Hall '-I 4 2'
loop_
_atom_site_label
_atom_site_type_symbol
_atom_site_fract_x
_atom_site_fract_y
_atom_site_fract_z
Ga1 Ga 0.000 0.000 0.203
Ga2 Ga 0.000 0.500 0.000
B1 B 0.000 0.000 0.384
H1 H 0.000 0.000 0.000

***

# Ga2BH6 | the Alexandria database | PBE-GGA | optimized geometry
# DFT total energy (eV per cell): -112.929
data_Ga2BH6
_cell_length_a 7.057
_cell_length_b 7.057
_cell_length_c 7.057
_cell_angle_alpha 90.00
_cell_angle_beta 90.00
_cell_angle_gamma 90.00
_symmetry_space_group_name_H-M 'F m -3 m'
_symmetry_Int_Tables_number 225
_symmetry_space_group_name_Hall '-F 4 2 3'
loop_
_atom_site_label
_atom_site_type_symbol
_atom_site_fract_x
_atom_site_fract_y
_atom_site_fract_z
Ga1 Ga 0.250 0.250 0.250
B1 B 0.000 0.000 0.000
H1 H 0.000 0.000 0.194

***

Question: DFT total energy of number 2 (GaB2H6)?
Answer: -141.387 eV per cell

***

Question: Which formula does entry 1 have?
Answer: Ga2BH